Record 1
VASP calculation (PBE-GGA) on a geometry-optimized KRbInAg structure.

abc: 4.9675 4.9675 8.9632
angles: 90.14 105.92 120.04
Atoms (fractional coordinates):
Ag (0.8340, 0.2817, 0.1158)
Rb (0.3610, 0.0464, 0.4074)
In (0.5020, 0.6154, 0.1174)
K (0.9951, 0.8608, 0.8559)

**Density of states at the Fermi level**: 3.03 states/eV/cell
**Energy relative to the elements**: -0.1 eV/f.u.


Record 2
VASP calculation (PBE-GGA) on a geometry-optimized KRb2InAg structure.

abc: 6.9084 6.9084 5.4283
angles: 90.00 90.00 90.00
Atoms (fractional coordinates):
In (0.0000, 0.0000, 0.5000)
Ag (0.0000, 0.0000, 0.0000)
Rb (0.5000, 0.0000, 0.0000)
Rb (0.0000, 0.5000, 0.0000)
K (0.5000, 0.5000, 0.5000)

**Density of states at the Fermi level**: 3.91 states/eV/cell
**Energy relative to the elements**: 0.3 eV/f.u.


Record 3
VASP calculation (PBE-GGA) on a geometry-optimized KIn2AgRh structure.

abc: 5.1241 5.1241 5.4566
angles: 90.00 90.00 90.00
Atoms (fractional coordinates):
In (0.0000, 0.5000, 0.0000)
In (0.5000, 0.0000, 0.0000)
Rh (0.0000, 0.0000, 0.0000)
Ag (0.0000, 0.0000, 0.5000)
K (0.5000, 0.5000, 0.5000)

**Density of states at the Fermi level**: 1.94 states/eV/cell
**Energy relative to the elements**: -0.5 eV/f.u.


Record 4
VASP calculation (PBE-GGA) on a geometry-optimized KInAgS2 structure.

abc: 5.6130 6.8574 7.9206
angles: 115.65 90.00 90.00
Atoms (fractional coordinates):
S (0.2773, 0.1276, 0.2552)
S (0.7227, 0.8724, 0.7448)
S (0.7227, 0.6276, 0.2552)
S (0.2773, 0.3724, 0.7448)
In (0.5000, 0.7500, 0.0000)
In (0.5000, 0.2500, 0.0000)
K (0.2314, 0.7500, 0.5000)
K (0.7686, 0.2500, 0.5000)
Ag (0.0000, 0.5000, 0.0000)
Ag (0.0000, 0.0000, 0.0000)

**Density of states at the Fermi level**: 4.45 states/eV/cell


Record 5
VASP calculation (PBE-GGA) on a geometry-optimized K2In2AgSe4 structure.

abc: 4.7199 7.8770 7.5880
angles: 103.33 90.00 107.43
Atoms (fractional coordinates):
In (0.3529, 0.7059, 0.9579)
In (0.6471, 0.2941, 0.0421)
Se (0.7829, 0.5658, 0.8066)
Se (0.5036, 0.0073, 0.7552)
Se (0.4964, 0.9927, 0.2448)
Se (0.2171, 0.4342, 0.1934)
K (0.1252, 0.2504, 0.5575)
K (0.8748, 0.7496, 0.4425)
Ag (0.0000, 0.0000, 0.0000)

**Density of states at the Fermi level**: 2.46 states/eV/cell


Record 6
VASP calculation (PBE-GGA) on a geometry-optimized KIn2AgSe4 structure.

abc: 6.0505 8.2500 8.2500
angles: 42.93 68.49 68.49
Atoms (fractional coordinates):
In (0.2500, 0.2500, 0.2500)
In (0.7500, 0.7500, 0.7500)
Se (0.8629, 0.5822, 0.1372)
Se (0.4177, 0.1372, 0.5822)
Se (0.1371, 0.8628, 0.4178)
Se (0.5823, 0.4178, 0.8628)
K (0.0000, 0.0000, 0.0000)
Ag (0.5000, 0.5000, 0.5000)

**Density of states at the Fermi level**: 1.17 states/eV/cell


Record 7
VASP calculation (PBE-GGA) on a geometry-optimized K2In3AgSe6 structure.

abc: 8.3948 8.3948 21.7438
angles: 84.21 84.21 90.09
Atoms (fractional coordinates):
Se (0.6707, 0.0256, 0.3254)
Se (0.4382, 0.8263, 0.1752)
Se (0.6919, 0.1188, 0.0401)
Se (0.0256, 0.6707, 0.8254)
Se (0.8812, 0.3081, 0.4599)
Se (0.8410, 0.9733, 0.6749)
Se (0.8263, 0.4382, 0.6752)
Se (0.0267, 0.1590, 0.8251)
Se (0.6611, 0.5614, 0.3259)
Se (0.3389, 0.4386, 0.6741)
Se (0.2095, 0.3801, 0.9602)
Se (0.3081, 0.8812, 0.9599)
Se (0.7905, 0.6199, 0.0398)
Se (0.1737, 0.5618, 0.3248)
Se (0.3801, 0.2095, 0.4602)
Se (0.5614, 0.6611, 0.8259)
Se (0.9733, 0.8410, 0.1749)
Se (0.4386, 0.3389, 0.1741)
Se (0.6199, 0.7905, 0.5398)
Se (0.5618, 0.1737, 0.8248)
Se (0.1590, 0.0267, 0.3251)
Se (0.3293, 0.9744, 0.6746)
Se (0.1188, 0.6919, 0.5401)
Se (0.9744, 0.3293, 0.1746)
In (0.7219, 0.8499, 0.1122)
In (0.1501, 0.2781, 0.3878)
In (0.2781, 0.1501, 0.8878)
In (0.4393, 0.5607, 0.2500)
In (0.2763, 0.6494, 0.8886)
In (0.3506, 0.7237, 0.6114)
In (0.9329, 0.0671, 0.2500)
In (0.0671, 0.9329, 0.7500)
In (0.6494, 0.2763, 0.3886)
In (0.8499, 0.7219, 0.6122)
In (0.5607, 0.4393, 0.7500)
In (0.7237, 0.3506, 0.1114)
K (0.6082, 0.2043, 0.5826)
K (0.3918, 0.7957, 0.4174)
K (0.1055, 0.2563, 0.5825)
K (0.7437, 0.8945, 0.9175)
K (0.2563, 0.1055, 0.0825)
K (0.8945, 0.7437, 0.4175)
K (0.2043, 0.6082, 0.0826)
K (0.7957, 0.3918, 0.9174)
Ag (0.9339, 0.5630, 0.2501)
Ag (0.4370, 0.0661, 0.2499)
Ag (0.5630, 0.9339, 0.7501)
Ag (0.0661, 0.4370, 0.7499)


Record 8
VASP calculation (PBE-GGA) on a geometry-optimized KInAgSn2 structure.

abc: 4.8687 4.8687 7.0742
angles: 110.13 110.13 90.00
Atoms (fractional coordinates):
Ag (0.2500, 0.7500, 0.5000)
In (0.7500, 0.2500, 0.5000)
Sn (0.3827, 0.3827, 0.7654)
Sn (0.6173, 0.6173, 0.2346)
K (0.0000, 0.0000, 0.0000)

**Density of states at the Fermi level**: 1.14 states/eV/cell
**Energy relative to the elements**: -0.6 eV/f.u.


Record 9
VASP calculation (PBE-GGA) on a geometry-optimized KInAgSn structure.

abc: 5.3283 5.3283 5.3283
angles: 60.00 60.00 60.00
Atoms (fractional coordinates):
Sn (0.0000, 0.0000, 0.0000)
K (0.5000, 0.5000, 0.5000)
In (0.7500, 0.7500, 0.7500)
Ag (0.2500, 0.2500, 0.2500)

**Density of states at the Fermi level**: 2.61 states/eV/cell
**Energy relative to the elements**: 0.2 eV/f.u.


Record 10
VASP calculation (PBE-GGA) on a geometry-optimized KIn2Ag2Sn structure.

abc: 5.3141 5.3141 6.7508
angles: 90.00 90.00 90.00
Atoms (fractional coordinates):
Ag (0.5000, 0.0000, 0.0000)
Ag (0.0000, 0.5000, 0.0000)
Sn (0.0000, 0.0000, 0.0000)
In (0.5000, 0.5000, 0.7487)
In (0.5000, 0.5000, 0.2513)
K (0.0000, 0.0000, 0.5000)

**Density of states at the Fermi level**: 2.74 states/eV/cell
**Energy relative to the elements**: 0.6 eV/f.u.


Record 11
VASP calculation (PBE-GGA) on a geometry-optimized KIn2Ag4Sn structure.

abc: 4.7846 4.7846 10.7127
angles: 77.10 77.10 60.00
Atoms (fractional coordinates):
Ag (0.1273, 0.1273, 0.6180)
Ag (0.5911, 0.5911, 0.2266)
Ag (0.4089, 0.4089, 0.7734)
Ag (0.8727, 0.8727, 0.3820)
In (0.7505, 0.7505, 0.7485)
In (0.2495, 0.2495, 0.2515)
Sn (0.5000, 0.5000, 0.5000)
K (0.0000, 0.0000, 0.0000)

**Density of states at the Fermi level**: 4.01 states/eV/cell
**Energy relative to the elements**: 0.3 eV/f.u.


Record 12
VASP calculation (PBE-GGA) on a geometry-optimized K2InAg3Sn4 structure.

abc: 4.7942 4.7942 12.1622
angles: 90.00 90.00 90.00
Atoms (fractional coordinates):
Sn (0.0000, 0.0000, 0.0000)
Sn (0.5000, 0.5000, 0.0000)
Sn (0.5000, 0.0000, 0.6386)
Sn (0.0000, 0.5000, 0.3614)
K (0.0000, 0.5000, 0.7515)
K (0.5000, 0.0000, 0.2485)
Ag (0.0000, 0.5000, 0.1328)
Ag (0.5000, 0.0000, 0.8672)
Ag (0.0000, 0.0000, 0.5000)
In (0.5000, 0.5000, 0.5000)

**Density of states at the Fermi level**: 4.63 states/eV/cell
**Energy relative to the elements**: -1.1 eV/f.u.


Record 13
VASP calculation (PBE-GGA) on a geometry-optimized KIn2AgTe4 structure.

abc: 6.5597 8.7193 8.7193
angles: 44.16 67.90 67.90
Atoms (fractional coordinates):
Te (0.5837, 0.4161, 0.8587)
Te (0.1414, 0.8587, 0.4161)
Te (0.8586, 0.5839, 0.1413)
Te (0.4163, 0.1413, 0.5839)
K (0.0000, 0.0000, 0.0000)
Ag (0.5000, 0.5000, 0.5000)
In (0.7501, 0.7499, 0.7499)
In (0.2499, 0.2501, 0.2501)

**Density of states at the Fermi level**: 4.83 states/eV/cell


Record 14
VASP calculation (PBE-GGA) on a geometry-optimized KZnIn4Ag2 structure.

abc: 4.8277 4.8277 11.0254
angles: 77.35 77.35 60.00
Atoms (fractional coordinates):
Ag (0.7680, 0.7680, 0.6959)
Ag (0.2320, 0.2320, 0.3041)
Zn (0.5000, 0.5000, 0.5000)
In (0.4067, 0.4067, 0.7799)
In (0.5933, 0.5933, 0.2201)
In (0.8694, 0.8694, 0.3917)
In (0.1306, 0.1306, 0.6083)
K (0.0000, 0.0000, 0.0000)

**Density of states at the Fermi level**: 3.94 states/eV/cell
**Energy relative to the elements**: 0.0 eV/f.u.


Record 15
VASP calculation (PBE-GGA) on a geometry-optimized K2ZnInAg2 structure.

abc: 6.6551 8.0706 8.6320
angles: 117.87 112.67 90.00
Atoms (fractional coordinates):
In (0.2500, 0.0000, 0.0000)
In (0.7500, 0.0000, 0.0000)
K (0.8167, 0.5201, 0.6333)
K (0.3167, 0.1133, 0.6333)
K (0.1833, 0.4799, 0.3667)
K (0.6833, 0.8867, 0.3667)
Ag (0.4360, 0.6683, 0.8719)
Ag (0.5640, 0.3317, 0.1281)
Ag (0.0640, 0.7964, 0.1281)
Ag (0.9360, 0.2036, 0.8719)
Zn (0.7500, 0.5000, 0.0000)
Zn (0.2500, 0.5000, 0.0000)

**Density of states at the Fermi level**: 5.05 states/eV/cell
**Energy relative to the elements**: -0.1 eV/f.u.


Record 16
VASP calculation (PBE-GGA) on a geometry-optimized La2In3Ag structure.

abc: 3.8511 4.9850 8.6451
angles: 90.00 90.00 90.00
Atoms (fractional coordinates):
La (0.0000, 0.5000, 0.0036)
La (0.0000, 0.0000, 0.4977)
Ag (0.5000, 0.5000, 0.3300)
In (0.5000, 0.0000, 0.1747)
In (0.5000, 0.0000, 0.8362)
In (0.5000, 0.5000, 0.6579)

**Density of states at the Fermi level**: 4.49 states/eV/cell
**Offset from the most stable computed form**: 0.000 eV/atom
**Energy relative to the elements**: -2.9 eV/f.u.


Record 17
VASP calculation (PBE-GGA) on a geometry-optimized LaInAg3 structure.

abc: 4.3565 4.3649 7.0362
angles: 71.79 71.83 89.88
Atoms (fractional coordinates):
In (0.0137, 0.8171, 0.6786)
Ag (0.7946, 0.5981, 0.1156)
Ag (0.6541, 0.9561, 0.3985)
Ag (0.1522, 0.4571, 0.3993)
La (0.3932, 0.1967, 0.9191)

**Density of states at the Fermi level**: 3.24 states/eV/cell
**Offset from the most stable computed form**: 0.000 eV/atom
**Energy relative to the elements**: -0.9 eV/f.u.


Record 18
VASP calculation (PBE-GGA) on a geometry-optimized La2In3Ag structure.

abc: 6.3113 6.3113 9.4582
angles: 104.72 104.72 103.80
Atoms (fractional coordinates):
La (0.2574, 0.2574, 0.0000)
La (0.2500, 0.7500, 0.5000)
La (0.7426, 0.7426, 0.0000)
La (0.7500, 0.2500, 0.5000)
In (0.8323, 0.3375, 0.1697)
In (0.3375, 0.8323, 0.1697)
In (0.1677, 0.6625, 0.8303)
In (0.8312, 0.8312, 0.6625)
In (0.6625, 0.1677, 0.8303)
In (0.1688, 0.1688, 0.3375)
Ag (0.3323, 0.3323, 0.6646)
Ag (0.6677, 0.6677, 0.3354)

**Density of states at the Fermi level**: 9.95 states/eV/cell
**Offset from the most stable computed form**: 0.008 eV/atom
**Energy relative to the elements**: -2.9 eV/f.u.


Record 19
VASP calculation (PBE-GGA) on a geometry-optimized La2InAg2 structure.

abc: 3.8899 3.8899 9.7849
angles: 78.54 78.54 90.00
Atoms (fractional coordinates):
La (0.3915, 0.3915, 0.2169)
La (0.6085, 0.6085, 0.7831)
Ag (0.7500, 0.2500, 0.5000)
Ag (0.2500, 0.7500, 0.5000)
In (0.0000, 0.0000, 0.0000)

**Density of states at the Fermi level**: 4.92 states/eV/cell
**Energy relative to the elements**: -1.0 eV/f.u.


Record 20
VASP calculation (PBE-GGA) on a geometry-optimized LaIn4Ag structure.

abc: 6.1048 6.1048 6.1048
angles: 60.00 60.00 60.00
Atoms (fractional coordinates):
Ag (0.0000, 0.0000, 0.0000)
In (0.3751, 0.3751, 0.8748)
In (0.8748, 0.3751, 0.3751)
In (0.3751, 0.3751, 0.3751)
In (0.3751, 0.8748, 0.3751)
La (0.7500, 0.7500, 0.7500)

**Density of states at the Fermi level**: 3.84 states/eV/cell
**Energy relative to the elements**: -0.4 eV/f.u.


Record 21
VASP calculation (PBE-GGA) on a geometry-optimized LaIn2Ag3 structure.

abc: 4.8178 6.7069 9.1036
angles: 101.63 105.34 90.00
Atoms (fractional coordinates):
In (0.7694, 0.3388, 0.5388)
In (0.5144, 0.7849, 0.0288)
In (0.4856, 0.2151, 0.9712)
In (0.2306, 0.6612, 0.4612)
Ag (0.6956, 0.9204, 0.3911)
Ag (0.0688, 0.6523, 0.1376)
Ag (0.3044, 0.0796, 0.6089)
Ag (0.6318, 0.4989, 0.2636)
Ag (0.3682, 0.5011, 0.7364)
Ag (0.9312, 0.3477, 0.8624)
La (0.1199, 0.1515, 0.2398)
La (0.8801, 0.8485, 0.7602)

**Density of states at the Fermi level**: 3.87 states/eV/cell
**Energy relative to the elements**: -1.7 eV/f.u.


Record 22
VASP calculation (PBE-GGA) on a geometry-optimized La2InAg structure.

abc: 3.7079 4.8055 6.7364
angles: 90.00 90.00 90.00
Atoms (fractional coordinates):
La (0.0000, 0.0000, 0.9656)
La (0.5000, 0.5000, 0.2865)
Ag (0.0000, 0.0000, 0.4834)
In (0.5000, 0.5000, 0.7645)

**Density of states at the Fermi level**: 3.88 states/eV/cell
**Energy relative to the elements**: -0.7 eV/f.u.


| no. | electronic total energy (eV/atom) | total magnetization (μB/atom) |
| --- | --- | --- |
| 1 | -1.934 | 0.000 |
| 2 | -1.667 | 0.000 |
| 3 | -3.453 | 0.000 |
| 4 | -3.455 | 0.000 |
| 5 | -3.353 | 0.000 |
| 6 | -3.503 | 0.000 |
| 7 | -3.608 | 0.000 |
| 8 | -3.068 | 0.000 |
| 9 | -2.635 | 0.000 |
| 10 | -2.621 | 0.000 |
| 11 | -2.715 | 0.000 |
| 12 | -3.064 | 0.000 |
| 13 | -3.141 | 0.000 |
| 14 | -2.383 | 0.000 |
| 15 | -1.996 | 0.000 |
| 16 | -3.973 | 0.000 |
| 17 | -3.429 | 0.000 |
| 18 | -3.965 | 0.001 |
| 19 | -3.865 | 0.000 |
| 20 | -3.193 | 0.000 |
| 21 | -3.435 | 0.000 |
| 22 | -4.025 | 0.000 |